# TbGe6Se8 GGA-PBE optimized geometry
data_TbGe6Se8
_cell_length_a 9.5075
_cell_length_b 9.5075
_cell_length_c 15.7627
_cell_angle_alpha 90.00
_cell_angle_beta 90.00
_cell_angle_gamma 120.00
_space_group_name_H-M_alt 'R -3'
_space_group_IT_number 148
_space_group_name_Hall '-R 3'
loop_
_atom_site_label
_atom_site_type_symbol
_atom_site_fract_x
_atom_site_fract_y
_atom_site_fract_z
Tb1 Tb 0.0000 0.0000 0.0000
Ge1 Ge 0.0000 0.2364 0.6377
Se1 Se 0.0000 0.0000 0.2795
Se2 Se 0.0463 0.2818 0.0942
# - total energy (Ry/atom) = -0.327

=====

# Tb2GeSe GGA-PBE optimized geometry
data_Tb2GeSe
_cell_length_a 4.136
_cell_length_b 5.847
_cell_length_c 8.360
_cell_angle_alpha 90.00
_cell_angle_beta 90.00
_cell_angle_gamma 90.00
_space_group_name_H-M_alt 'P m m n'
_space_group_IT_number 59
loop_
_space_group_symop_operation_xyz
'x,y,z'
'-x,-y,-z'
'-x+1/2,-y+1/2,z'
'x+1/2,y+1/2,-z'
'x+1/2,-y,-z'
'-x+1/2,y,z'
'-x,y+1/2,-z'
'x,-y+1/2,z'
loop_
_atom_site_label
_atom_site_type_symbol
_atom_site_fract_x
_atom_site_fract_y
_atom_site_fract_z
Tb1 Tb 0.250 0.250 0.120
Tb2 Tb 0.250 0.250 0.636
Ge1 Ge 0.250 0.750 0.127
Se1 Se 0.250 0.750 0.620
# - total energy (Ry/atom) = -0.422

=====

# TbGeSe GGA-PBE optimized geometry
data_TbGeSe
_cell_length_a 3.889
_cell_length_b 3.889
_cell_length_c 18.267
_cell_angle_alpha 90.00
_cell_angle_beta 90.00
_cell_angle_gamma 90.00
_space_group_name_H-M_alt 'I 4/m m m'
_space_group_IT_number 139
_space_group_name_Hall '-I 4 2'
loop_
_atom_site_label
_atom_site_type_symbol
_atom_site_fract_x
_atom_site_fract_y
_atom_site_fract_z
Tb1 Tb 0.000 0.000 0.142
Ge1 Ge 0.000 0.500 0.000
Se1 Se 0.000 0.000 0.311
# - total energy (Ry/atom) = -0.400

=====

# Tb5GeSe5 GGA-PBE optimized geometry
data_Tb5GeSe5
_cell_length_a 13.039
_cell_length_b 5.800
_cell_length_c 8.211
_cell_angle_alpha 90.00
_cell_angle_beta 108.34
_cell_angle_gamma 90.00
_space_group_name_H-M_alt 'C 1 2/m 1'
_space_group_IT_number 12
_space_group_name_Hall '-C 2y'
loop_
_atom_site_label
_atom_site_type_symbol
_atom_site_fract_x
_atom_site_fract_y
_atom_site_fract_z
Tb1 Tb 0.000 0.000 0.000
Tb2 Tb 0.160 0.500 0.829
Tb3 Tb 0.162 0.500 0.331
Ge1 Ge 0.000 0.500 0.000
Se1 Se 0.000 0.500 0.500
Se2 Se 0.169 0.000 0.335
Se3 Se 0.170 0.000 0.836
# - total energy (Ry/atom) = -0.430

=====

# Tb2GeSe GGA-PBE optimized geometry
data_Tb2GeSe
_cell_length_a 4.1441
_cell_length_b 4.1441
_cell_length_c 20.4604
_cell_angle_alpha 90.00
_cell_angle_beta 90.00
_cell_angle_gamma 120.00
_space_group_name_H-M_alt 'R -3 m'
_space_group_IT_number 166
_space_group_name_Hall '-R 3 2"'
loop_
_atom_site_label
_atom_site_type_symbol
_atom_site_fract_x
_atom_site_fract_y
_atom_site_fract_z
Tb1 Tb 0.0000 0.0000 0.2460
Ge1 Ge 0.0000 0.0000 0.5000
Se1 Se 0.0000 0.0000 0.0000
# - total energy (Ry/atom) = -0.422

=====

# Tb8Ge5Se GGA-PBE optimized geometry
data_Tb8Ge5Se
_cell_length_a 8.846
_cell_length_b 8.846
_cell_length_c 8.867
_cell_angle_alpha 90.00
_cell_angle_beta 90.00
_cell_angle_gamma 90.00
_space_group_name_H-M_alt 'I -4'
_space_group_IT_number 82
_space_group_name_Hall 'I -4'
loop_
_atom_site_label
_atom_site_type_symbol
_atom_site_fract_x
_atom_site_fract_y
_atom_site_fract_z
Tb1 Tb 0.068 0.318 0.442
Tb2 Tb 0.069 0.185 0.813
Ge1 Ge 0.000 0.500 0.750
Ge2 Ge 0.127 0.251 0.127
Se1 Se 0.000 0.000 0.500
# - total energy (Ry/atom) = -0.404

=====

# Tb4GeSe3 GGA-PBE optimized geometry
data_Tb4GeSe3
_cell_length_a 8.263
_cell_length_b 11.680
_cell_length_c 4.122
_cell_angle_alpha 90.00
_cell_angle_beta 90.00
_cell_angle_gamma 90.00
_space_group_name_H-M_alt 'C m m m'
_space_group_IT_number 65
_space_group_name_Hall '-C 2 2'
loop_
_atom_site_label
_atom_site_type_symbol
_atom_site_fract_x
_atom_site_fract_y
_atom_site_fract_z
Tb1 Tb 0.000 0.243 0.000
Tb2 Tb 0.240 0.000 0.500
Ge1 Ge 0.000 0.000 0.000
Se1 Se 0.000 0.500 0.000
Se2 Se 0.250 0.250 0.500
# - total energy (Ry/atom) = -0.429

=====

# Tb3Ge2Se GGA-PBE optimized geometry
data_Tb3Ge2Se
_cell_length_a 4.143
_cell_length_b 4.143
_cell_length_c 17.580
_cell_angle_alpha 90.00
_cell_angle_beta 90.00
_cell_angle_gamma 90.00
_space_group_name_H-M_alt 'I 4/m m m'
_space_group_IT_number 139
_space_group_name_Hall '-I 4 2'
loop_
_atom_site_label
_atom_site_type_symbol
_atom_site_fract_x
_atom_site_fract_y
_atom_site_fract_z
Tb1 Tb 0.000 0.000 0.000
Tb2 Tb 0.000 0.000 0.333
Ge1 Ge 0.000 0.000 0.165
Se1 Se 0.000 0.000 0.500
# - total energy (Ry/atom) = -0.412

=====

# Tb4GeSe3 GGA-PBE optimized geometry
data_Tb4GeSe3
_cell_length_a 5.818
_cell_length_b 5.818
_cell_length_c 5.818
_cell_angle_alpha 90.00
_cell_angle_beta 90.00
_cell_angle_gamma 90.00
_space_group_name_H-M_alt 'P m -3 m'
_space_group_IT_number 221
_space_group_name_Hall '-P 4 2 3'
loop_
_atom_site_label
_atom_site_type_symbol
_atom_site_fract_x
_atom_site_fract_y
_atom_site_fract_z
Tb1 Tb 0.000 0.000 0.000
Tb2 Tb 0.000 0.500 0.500
Ge1 Ge 0.500 0.500 0.500
Se1 Se 0.000 0.000 0.500
# - total energy (Ry/atom) = -0.429

=====

# Tb3GeTeSe GGA-PBE optimized geometry
data_Tb3GeTeSe
_cell_length_a 8.494
_cell_length_b 4.262
_cell_length_c 12.123
_cell_angle_alpha 90.00
_cell_angle_beta 107.29
_cell_angle_gamma 90.00
_space_group_name_H-M_alt 'P 1 21/m 1'
_space_group_IT_number 11
_space_group_name_Hall '-P 2yb'
loop_
_atom_site_label
_atom_site_type_symbol
_atom_site_fract_x
_atom_site_fract_y
_atom_site_fract_z
Tb1 Tb 0.000 0.250 0.130
Tb2 Tb 0.161 0.250 0.614
Tb3 Tb 0.302 0.750 0.370
Ge1 Ge 0.066 0.250 0.368
Te1 Te 0.436 0.750 0.645
Se1 Se 0.200 0.750 0.107
# - total energy (Ry/atom) = -0.394

=====

# Tb8GeTe4Se3 GGA-PBE optimized geometry
data_Tb8GeTe4Se3
_cell_length_a 8.4174
_cell_length_b 8.4174
_cell_length_c 21.2634
_cell_angle_alpha 90.00
_cell_angle_beta 90.00
_cell_angle_gamma 120.00
_space_group_name_H-M_alt 'R -3 m'
_space_group_IT_number 166
_space_group_name_Hall '-R 3 2"'
loop_
_atom_site_label
_atom_site_type_symbol
_atom_site_fract_x
_atom_site_fract_y
_atom_site_fract_z
Tb1 Tb 0.0000 0.0000 0.2388
Tb2 Tb 0.0062 0.5031 0.2392
Ge1 Ge 0.0000 0.0000 0.5000
Te1 Te 0.0000 0.0000 0.0000
Te2 Te 0.0000 0.5000 0.0000
Se1 Se 0.0000 0.5000 0.5000
# - total energy (Ry/atom) = -0.407

=====

# Tb4GeTe2Se GGA-PBE optimized geometry
data_Tb4GeTe2Se
_cell_length_a 7.306
_cell_length_b 4.233
_cell_length_c 7.516
_cell_angle_alpha 90.00
_cell_angle_beta 109.10
_cell_angle_gamma 90.00
_space_group_name_H-M_alt 'P 1 2/m 1'
_space_group_IT_number 10
_space_group_name_Hall '-P 2y'
loop_
_atom_site_label
_atom_site_type_symbol
_atom_site_fract_x
_atom_site_fract_y
_atom_site_fract_z
Tb1 Tb 0.233 0.000 0.220
Tb2 Tb 0.252 0.500 0.780
Ge1 Ge 0.000 0.500 0.000
Te1 Te 0.000 0.000 0.500
Te2 Te 0.500 0.500 0.500
Se1 Se 0.500 0.000 0.000
# - total energy (Ry/atom) = -0.407

=====

Question: Which of these has the highest total energy?
Answer: TbGe6Se8

=====

Question: Number 12 is which compound?
Answer: Tb4GeTe2Se

=====

Question: Among the records above, which one has the lowest total energy?
Answer: Tb5GeSe5

=====

Question: What is the formula in the ninth record?
Answer: Tb4GeSe3